[1]
First-principles (PBE-GGA) data for NdSmPS after structural relaxation, as listed in the Alexandria database.

abc: 4.0878 4.0878 7.1174
angles: 73.31 73.31 60.00
Fractional coordinates of all 4 atoms:
S1 0.1927 0.1927 0.4220
P1 0.6955 0.6955 0.9135
Sm1 0.4414 0.4414 0.6758
Nd1 0.9468 0.9468 0.1595

Results
Calculated total energy (eV per cell): -26.4
V (Å³/f.u.): 97.2
E_form (uncorrected) (eV/atom): -1.852
M_tot (μB per cell): 0.00
N(E_F) (states/eV/cell): 1.6
Space group: R3m, No. 160

---

[2]
First-principles (PBE-GGA) data for Nd6SnP3S2 after structural relaxation, as listed in the Alexandria database.

abc: 4.1675 8.4711 9.4085
angles: 103.06 102.80 90.00
Fractional coordinates of all 12 atoms:
S1 0.1700 0.3390 0.3399
Nd1 0.0005 0.2679 0.0010
P1 0.5000 0.5000 0.0000
Nd2 0.6731 0.0831 0.3463
Nd3 0.3269 0.9169 0.6537
Nd4 0.6653 0.5888 0.3305
P2 0.8336 0.1687 0.6672
Sn1 0.5000 0.0000 0.0000
Nd5 0.9995 0.7321 0.9990
Nd6 0.3347 0.4112 0.6695
S2 0.8300 0.6610 0.6601
P3 0.1664 0.8313 0.3328

Results
Calculated total energy (eV per cell): -76.0
V (Å³/f.u.): 315.1
E_form (uncorrected) (eV/atom): -1.572
M_tot (μB per cell): 0.00
N(E_F) (states/eV/cell): 2.8
Space group: C2/m, No. 12

---

[3]
First-principles (PBE-GGA) data for Nd4SnPS2 after structural relaxation, as listed in the Alexandria database.

abc: 4.2118 7.2976 7.3596
angles: 70.50 90.00 90.00
Fractional coordinates of all 8 atoms:
Nd1 0.0000 0.2395 0.2652
P1 0.0000 0.5000 0.5000
Nd2 0.5000 0.2500 0.7396
Sn1 0.5000 0.5000 0.0000
Nd3 0.0000 0.7605 0.7348
S1 0.0000 0.0000 0.0000
Nd4 0.5000 0.7500 0.2604
S2 0.5000 0.0000 0.5000

Results
Calculated total energy (eV per cell): -49.2
V (Å³/f.u.): 213.2
E_form (uncorrected) (eV/atom): -1.554
M_tot (μB per cell): 0.00
N(E_F) (states/eV/cell): 2.3
Space group: P2/m, No. 10

---

[4]
First-principles (PBE-GGA) data for Nd3TePS after structural relaxation, as listed in the Alexandria database.

abc: 4.3691 8.5862 9.7350
angles: 101.22 90.00 90.00
Each line ends with the local moment (μB).
Fractional coordinates of all 12 atoms:
S1 0.2500 0.0897 0.5917  0.00
Te1 0.7500 0.8214 0.7827  0.00
Nd1 0.2500 0.1192 0.8705  0.00
Nd2 0.7500 0.2451 0.5317  0.09
Nd3 0.2500 0.5706 0.8543  0.04
P1 0.7500 0.3430 0.8486  0.00
Nd4 0.2500 0.7549 0.4683  0.09
P2 0.2500 0.6570 0.1514  0.00
Nd5 0.7500 0.8808 0.1295  0.00
S2 0.7500 0.9103 0.4083  0.00
Nd6 0.7500 0.4294 0.1457  0.04
Te2 0.2500 0.1786 0.2173  0.00

Results
Calculated total energy (eV per cell): -71.0
V (Å³/f.u.): 179.1
E_form (uncorrected) (eV/atom): -1.423
M_tot (μB per cell): 0.94
N(E_F) (states/eV/cell): 7.0
Space group: P2_1/m, No. 11